VASP calculation (PBE) on crystalline CrSb2CI at its relaxed geometry. Values from VASP.

Geometry as Quantum ESPRESSO input:
```
&SYSTEM
  ibrav = 0, nat = 5, ntyp = 4
/
ATOMIC_SPECIES
Cr 52.00 Cr.upf
Sb 121.76 Sb.upf
C 12.01 C.upf
I 126.90 I.upf
CELL_PARAMETERS angstrom
4.746 0.000 0.000
0.000 4.746 0.000
0.000 0.000 4.993
ATOMIC_POSITIONS angstrom
Cr 0.000 0.000 0.000
Sb 0.000 2.373 2.497
Sb 2.373 0.000 2.497
C 2.373 2.373 2.497
I 2.373 2.373 0.000
```

M_tot in μB per atom: 0.7689
E above lowest polymorph in meV per atom: 0
Calculated density in g/cm³: 6.41
Formation energy from raw total energies in meV per atom: 1245.3

=====

VASP calculation (PBE) on crystalline Ce2Bi2Au15 at its relaxed geometry. Values from VASP.

Geometry as Quantum ESPRESSO input:
```
&SYSTEM
  ibrav = 0, nat = 19, ntyp = 3
/
ATOMIC_SPECIES
Ce 140.12 Ce.upf
Bi 208.98 Bi.upf
Au 196.97 Au.upf
CELL_PARAMETERS angstrom
4.984 2.877 4.736
-4.984 2.877 4.736
0.000 -5.755 4.736
ATOMIC_POSITIONS angstrom
Ce 0.000 0.000 2.055
Ce 0.000 0.000 12.152
Bi 0.000 0.000 5.556
Bi 0.000 0.000 8.651
Au -2.492 -1.439 4.736
Au 0.000 -2.999 4.681
Au -2.597 1.500 4.681
Au -1.648 -2.854 7.104
Au -3.295 0.000 7.104
Au -2.597 -1.500 9.526
Au -2.492 1.439 9.471
Au 1.648 -2.854 7.104
Au 0.000 2.877 4.736
Au -1.648 2.854 7.104
Au 2.597 1.500 4.681
Au 3.295 0.000 7.104
Au 1.648 2.854 7.104
Au 2.597 -1.499 9.526
Au 0.000 2.999 9.526
```

Formation enthalpy at 0 K in kJ per mole of atoms: -20.8
M_tot in μB per atom: 0.1183
Calculated density in g/cm³: 14.88

=====

VASP calculation (PBE) on crystalline Pm4ErZn at its relaxed geometry. Values from VASP.

Geometry as Quantum ESPRESSO input:
```
&SYSTEM
  ibrav = 0, nat = 6, ntyp = 3
/
ATOMIC_SPECIES
Pm 145.00 Pm.upf
Er 167.26 Er.upf
Zn 65.41 Zn.upf
CELL_PARAMETERS angstrom
3.636 0.000 0.000
0.000 3.636 0.000
0.000 0.000 13.856
ATOMIC_POSITIONS angstrom
Pm 0.000 0.000 1.831
Pm 0.000 0.000 12.025
Pm 1.818 1.818 4.439
Pm 1.818 1.818 9.416
Er 0.000 0.000 6.928
Zn 1.818 1.818 0.000
```

Formation enthalpy at 0 K in kJ per mole of atoms: -9.1
M_tot in μB per atom: 0.0000
E above lowest polymorph in meV per atom: 0
Calculated density in g/cm³: 7.37

=====

VASP calculation (PBE) on crystalline DyAl2S4 at its relaxed geometry. Values from VASP.

Geometry as Quantum ESPRESSO input:
```
&SYSTEM
  ibrav = 0, nat = 7, ntyp = 3
/
ATOMIC_SPECIES
Dy 162.50 Dy.upf
Al 26.98 Al.upf
S 32.06 S.upf
CELL_PARAMETERS angstrom
-3.825 3.825 3.023
3.825 -3.825 3.023
3.825 3.825 -3.023
ATOMIC_POSITIONS angstrom
Dy 0.000 0.000 0.000
Al 3.825 0.000 1.512
Al 0.000 3.825 1.512
S 2.539 1.123 0.000
S 2.702 -1.286 3.023
S 1.123 5.112 0.000
S 1.286 2.702 3.023
```

M_tot in μB per atom: 0.1427
E above lowest polymorph in meV per atom: 133
Calculated density in g/cm³: 3.23
Formation energy from raw total energies in meV per atom: -1094.1